Record 1
# ScNb2I (PBE-GGA, relaxed)
# Energy relative to the elements, uncorrected, eV per atom: 0.4776
data_ScNb2I
_chemical_formula_sum 'Sc2 Nb4 I2'
_symmetry_space_group_name_H-M 'P 1'
_symmetry_Int_Tables_number 1
_symmetry_space_group_name_Hall 'P 1'
_cell_length_a 4.065
_cell_length_b 4.065
_cell_length_c 10.888
_cell_angle_alpha 79.24
_cell_angle_beta 79.24
_cell_angle_gamma 90.00
loop_
_atom_site_label
_atom_site_fract_x
_atom_site_fract_y
_atom_site_fract_z
I1 0.000 0.000 0.000
I2 0.750 0.250 0.500
Sc1 0.500 0.500 0.000
Sc2 0.250 0.750 0.500
Nb1 0.630 0.125 0.250
Nb2 0.120 0.625 0.250
Nb3 0.375 0.370 0.750
Nb4 0.875 0.880 0.750

Record 2
# Si2Te (PBE-GGA, relaxed)
# Energy relative to the elements, uncorrected, eV per atom: 0.2895
data_Si2Te
_chemical_formula_sum 'Si4 Te2'
_symmetry_space_group_name_H-M 'P 1'
_symmetry_Int_Tables_number 1
_symmetry_space_group_name_Hall 'P 1'
_cell_length_a 6.136
_cell_length_b 6.136
_cell_length_c 5.521
_cell_angle_alpha 90.00
_cell_angle_beta 90.00
_cell_angle_gamma 143.02
loop_
_atom_site_label
_atom_site_fract_x
_atom_site_fract_y
_atom_site_fract_z
Si1 0.858 0.142 0.750
Si2 0.488 0.512 0.750
Si3 0.142 0.858 0.250
Si4 0.512 0.488 0.250
Te1 0.173 0.827 0.750
Te2 0.827 0.173 0.250

Record 3
# SrIrRu2 (PBE-GGA, relaxed)
# ΔE_f, meV/atom: 450.1
data_SrIrRu2
_chemical_formula_sum 'Sr1 Ir1 Ru2'
_symmetry_space_group_name_H-M 'P 1'
_symmetry_Int_Tables_number 1
_symmetry_space_group_name_Hall 'P 1'
_cell_length_a 4.334
_cell_length_b 2.849
_cell_length_c 6.243
_cell_angle_alpha 76.88
_cell_angle_beta 90.00
_cell_angle_gamma 90.00
loop_
_atom_site_label
_atom_site_fract_x
_atom_site_fract_y
_atom_site_fract_z
Ir1 0.500 0.912 0.800
Ru1 0.000 0.802 0.023
Ru2 0.500 0.233 0.161
Sr1 0.000 0.553 0.517

Record 4
# NdSc2Cu2Ge2 (PBE-GGA, relaxed)
# ΔE_f, meV/atom: -529.5
data_NdSc2Cu2Ge2
_chemical_formula_sum 'Nd1 Sc2 Cu2 Ge2'
_symmetry_space_group_name_H-M 'P 1'
_symmetry_Int_Tables_number 1
_symmetry_space_group_name_Hall 'P 1'
_cell_length_a 4.355
_cell_length_b 4.355
_cell_length_c 8.604
_cell_angle_alpha 75.34
_cell_angle_beta 75.34
_cell_angle_gamma 60.00
loop_
_atom_site_label
_atom_site_fract_x
_atom_site_fract_y
_atom_site_fract_z
Nd1 0.000 0.000 0.000
Sc1 0.136 0.136 0.593
Sc2 0.864 0.864 0.407
Cu1 0.561 0.561 0.317
Cu2 0.439 0.439 0.683
Ge1 0.744 0.744 0.769
Ge2 0.256 0.256 0.231

Total DFT energy (no corrections) in eV per atom, matching the order above: -6.528, -4.373, -6.824, -5.509